[1]
Compound: NaLi2RhN
Source: Alexandria via LeMat-Bulk
Functional: meta-GGA SCAN
Structure: PBEsol geometry

Cell lengths 3.8047, 4.2190, 4.2190 Å; angles 90.00, 90.00, 90.00 degrees
Closest atoms and distances in Å follow each position.
Element x y z (fractional)
Na 0.5000 0.5000 0.5000  8 Li 2.84, 4 Rh 2.98
N 0.0000 0.0000 0.0000  2 Rh 1.90, 4 Li 2.11
Rh 0.5000 0.0000 0.0000  2 N 1.90
Li 0.0000 0.0000 0.5000  2 N 2.11
Li 0.0000 0.5000 0.0000  2 N 2.11

Output
Raw formation energy ... -1.413 eV per formula unit
Density of states at the Fermi level ... 1.11 states/eV per cell
Total magnetic moment ... 0.00 μB per cell
Space-group type ... P4/mmm, No. 123
Total DFT energy (no corrections) ... -53.471 eV/cell



[2]
Compound: K2ZrP2O8
Source: Alexandria via LeMat-Bulk
Functional: meta-GGA SCAN
Structure: PBEsol geometry

Cell lengths 5.2007, 5.2007, 8.9715 Å; angles 90.00, 90.00, 120.00 degrees
Closest atoms and distances in Å follow each position.
Element x y z (fractional)
K 0.6667 0.3333 0.3471  4 O 2.59-2.86
K 0.3333 0.6667 0.6529  4 O 2.59-2.86
Zr 0.0000 0.0000 0.0000  6 O 2.08
P 0.6667 0.3333 0.8046  4 O 1.52-1.55
P 0.3333 0.6667 0.1954  4 O 1.52-1.55
O 0.6667 0.3333 0.6355  1 P 1.52
O 0.3333 0.6667 0.3645  1 P 1.52
O 0.7312 0.6402 0.8650  1 P 1.55
O 0.9090 0.2688 0.8650  1 P 1.55
O 0.3598 0.0910 0.8650  1 P 1.55
O 0.2688 0.3598 0.1350  1 P 1.55
O 0.0910 0.7312 0.1350  1 P 1.55
O 0.6402 0.9090 0.1350  1 P 1.55

Output
Raw formation energy ... -37.420 eV per formula unit
Density of states at the Fermi level ... 0.00 states/eV per cell
Total magnetic moment ... 0.00 μB per cell
Space-group type ... P-3, No. 147
Total DFT energy (no corrections) ... -155.423 eV/cell



[3]
Compound: TaAl2ReTc
Source: Alexandria via LeMat-Bulk
Functional: meta-GGA SCAN
Structure: PBEsol geometry

Cell lengths 4.4240, 4.4240, 4.7458 Å; angles 90.00, 90.00, 90.00 degrees
Closest atoms and distances in Å follow each position.
Element x y z (fractional)
Re 0.0000 0.0000 0.5000  2 Tc 2.37
Al 0.0000 0.5000 0.0000  2 Tc 2.21
Al 0.5000 0.0000 0.0000  2 Tc 2.21
Tc 0.0000 0.0000 0.0000  4 Al 2.21, 2 Re 2.37
Ta 0.5000 0.5000 0.5000  4 Re 3.13, 8 Al 3.24

Output
Density of states at the Fermi level ... 4.17 states/eV per cell
Energy of formation from the pure elements ... 547 kJ/mol of formula units
Total magnetic moment ... 0.47 μB per cell
Space-group type ... P4/mmm, No. 123
Total DFT energy (no corrections) ... -182.570 eV/cell



[4]
Compound: TiI4
Source: Alexandria via LeMat-Bulk
Functional: meta-GGA SCAN
Structure: PBEsol geometry

Cell lengths 6.8076, 7.7136, 7.7136 Å; angles 116.79, 90.78, 89.22 degrees
Closest atoms and distances in Å follow each position.
Element x y z (fractional)
I 0.0754 0.7269 0.4952  2 Ti 2.74-2.90
I 0.4246 0.4952 0.7269  2 Ti 2.74-2.90
I 0.9246 0.2731 0.5048  2 Ti 2.74-2.90
I 0.5754 0.5048 0.2731  2 Ti 2.74-2.90
I 0.3986 0.0050 0.2603  1 Ti 2.57
I 0.1014 0.2603 0.0050  1 Ti 2.57
I 0.6014 0.9950 0.7397  1 Ti 2.57
I 0.8986 0.7397 0.9950  1 Ti 2.57
Ti 0.2500 0.3410 0.3410  4 I 2.57-2.74
Ti 0.7500 0.6590 0.6590  4 I 2.57-2.74

Output
Raw formation energy ... -3.786 eV per formula unit
Total magnetic moment ... 0.00 μB per cell
Space-group type ... C2/c, No. 15
Total DFT energy (no corrections) ... -333.564 eV/cell



[5]
Compound: AgRuCl
Source: Alexandria via LeMat-Bulk
Functional: meta-GGA SCAN
Structure: PBEsol geometry

Cell lengths 2.9324, 2.9324, 6.4053 Å; angles 90.00, 90.00, 120.00 degrees
Closest atoms and distances in Å follow each position.
Element x y z (fractional)
Ru 0.6667 0.3333 0.3594  3 Cl 2.39
Ag 0.0000 0.0000 0.0169  3 Ru 2.77, 6 Ag 2.93, 3 Cl 3.03
Cl 0.3333 0.6667 0.6237  3 Ru 2.39

Output
Raw formation energy ... 1.233 eV per formula unit
Density of states at the Fermi level ... 2.38 states/eV per cell
Total magnetic moment ... 0.00 μB per cell
Space-group type ... P3m1, No. 156
Total DFT energy (no corrections) ... -72.938 eV/cell



[6]
Compound: LiCaAlN2
Source: Alexandria via LeMat-Bulk
Functional: meta-GGA SCAN
Structure: PBEsol geometry

Cell lengths 5.7351, 5.7755, 6.8212 Å; angles 90.00, 90.00, 90.16 degrees
Closest atoms and distances in Å follow each position.
Element x y z (fractional)
Li 0.3665 0.9097 0.4003  4 N 2.04-2.24
Li 0.6335 0.5903 0.9003  4 N 2.04-2.24
Li 0.6335 0.0903 0.5997  4 N 2.04-2.24
Li 0.3665 0.4097 0.0997  4 N 2.04-2.24
Ca 0.0271 0.7415 0.1283  6 N 2.39-2.66
Ca 0.9729 0.7585 0.6283  6 N 2.39-2.66
Ca 0.9729 0.2585 0.8717  6 N 2.39-2.66
Ca 0.0271 0.2415 0.3717  6 N 2.39-2.66
Al 0.6214 0.5746 0.3602  4 N 1.91-1.95
Al 0.3786 0.9254 0.8602  4 N 1.91-1.95
Al 0.3786 0.4254 0.6398  4 N 1.91-1.95
Al 0.6214 0.0746 0.1398  4 N 1.91-1.95
N 0.2667 0.6061 0.8542  2 Al 1.91-1.95, 2 Li 2.10-2.13
N 0.7333 0.8939 0.3542  2 Al 1.91-1.95, 2 Li 2.10-2.13
N 0.7333 0.3939 0.1458  2 Al 1.91-1.95, 2 Li 2.10-2.13
N 0.2667 0.1061 0.6458  2 Al 1.91-1.95, 2 Li 2.10-2.13
N 0.2869 0.5659 0.3923  2 Al 1.93-1.95, 1 Li 2.04
N 0.7131 0.9341 0.8923  2 Al 1.93-1.95, 1 Li 2.04
N 0.7131 0.4341 0.6077  2 Al 1.93-1.95, 1 Li 2.04
N 0.2869 0.0659 0.1077  2 Al 1.93-1.95, 1 Li 2.04

Output
Raw formation energy ... -6.340 eV per formula unit
Density of states at the Fermi level ... 0.00 states/eV per cell
Total magnetic moment ... 0.00 μB per cell
Space-group type ... P2_1/c, No. 14
Total DFT energy (no corrections) ... -178.908 eV/cell



[7]
Compound: Hf2RuCF
Source: Alexandria via LeMat-Bulk
Functional: meta-GGA SCAN
Structure: PBEsol geometry

Cell lengths 3.7371, 4.3343, 4.3343 Å; angles 90.00, 90.00, 90.00 degrees
Closest atoms and distances in Å follow each position.
Element x y z (fractional)
Ru 0.5000 0.5000 0.5000  8 Hf 2.86, 4 C 3.06
C 0.5000 0.0000 0.0000  2 F 1.87
Hf 0.0000 0.0000 0.5000  2 F 2.17
Hf 0.0000 0.5000 0.0000  2 F 2.17
F 0.0000 0.0000 0.0000  2 C 1.87

Output
Raw formation energy ... 1.705 eV per formula unit
Density of states at the Fermi level ... 1.80 states/eV per cell
Total magnetic moment ... 0.00 μB per cell
Space-group type ... P4/mmm, No. 123
Total DFT energy (no corrections) ... -172.107 eV/cell



[8]
Compound: CrB3O
Source: Alexandria via LeMat-Bulk
Functional: meta-GGA SCAN
Structure: PBEsol geometry

Cell lengths 3.8928, 3.8928, 3.8928 Å; angles 90.00, 90.00, 90.00 degrees
Closest atoms and distances in Å follow each position.
Element x y z (fractional)
Cr 0.0000 0.0000 0.0000  6 B 1.95
B 0.0000 0.5000 0.0000  2 Cr 1.95
B 0.0000 0.0000 0.5000  2 Cr 1.95
B 0.5000 0.0000 0.0000  2 Cr 1.95
O 0.5000 0.5000 0.5000  12 B 2.75

Output
Raw formation energy ... 9.047 eV per formula unit
Energy relative to the lowest polymorph listed for this composition ... 266 kJ/mol of formula units
Density of states at the Fermi level ... 2.76 states/eV per cell
Total magnetic moment ... 3.75 μB per cell
Space-group type ... Pm-3m, No. 221
Total DFT energy (no corrections) ... -37.857 eV/cell



[9]
Compound: Li5MnV3O8
Source: Alexandria via LeMat-Bulk
Functional: meta-GGA SCAN
Structure: PBEsol geometry

Cell lengths 8.3985, 8.3985, 8.3985 Å; angles 90.00, 90.00, 90.00 degrees
Closest atoms and distances in Å follow each position.
Element x y z (fractional)
Li 0.0537 0.0537 0.0537  3 O 1.84
Li 0.1332 0.3750 0.3832  4 O 2.01-2.07, 2 Li 2.24
Li 0.1250 0.6168 0.6332  4 O 2.01-2.07, 2 Li 2.24
Li 0.1168 0.8668 0.8750  4 O 2.01-2.07, 2 Li 2.24
Li 0.1963 0.1963 0.1963  3 O 1.84
Li 0.3037 0.8037 0.6963  3 O 1.84
Li 0.3832 0.1332 0.3750  4 O 2.01-2.07, 2 Li 2.24
Li 0.3750 0.3832 0.1332  4 O 2.01-2.07, 2 Li 2.24
Li 0.3668 0.6250 0.8832  4 O 2.01-2.07, 2 Li 2.24
Li 0.4463 0.9463 0.5537  3 O 1.84
Li 0.5537 0.4463 0.9463  3 O 1.84
Li 0.6332 0.1250 0.6168  4 O 2.01-2.07, 2 Li 2.24
Li 0.6250 0.8832 0.3668  4 O 2.01-2.07, 2 Li 2.24
Li 0.6168 0.6332 0.1250  4 O 2.01-2.07, 2 Li 2.24
Li 0.6963 0.3037 0.8037  3 O 1.84
Li 0.8037 0.6963 0.3037  3 O 1.84
Li 0.8832 0.3668 0.6250  4 O 2.01-2.07, 2 Li 2.24
Li 0.8750 0.1168 0.8668  4 O 2.01-2.07, 2 Li 2.24
Li 0.8668 0.8750 0.1168  4 O 2.01-2.07, 2 Li 2.24
Li 0.9463 0.5537 0.4463  3 O 1.84
Mn 0.1250 0.8750 0.3750  6 O 2.15
Mn 0.3750 0.1250 0.8750  6 O 2.15
Mn 0.6250 0.6250 0.6250  6 O 2.15
Mn 0.8750 0.3750 0.1250  6 O 2.15
V 0.1175 0.1325 0.6250  6 O 2.01-2.06
V 0.1250 0.3825 0.8675  6 O 2.01-2.06
V 0.1325 0.6250 0.1175  6 O 2.01-2.06
V 0.3675 0.3750 0.6175  6 O 2.01-2.06
V 0.3750 0.6175 0.3675  6 O 2.01-2.06
V 0.3825 0.8675 0.1250  6 O 2.01-2.06
V 0.6175 0.3675 0.3750  6 O 2.01-2.06
V 0.6250 0.1175 0.1325  6 O 2.01-2.06
V 0.6325 0.8750 0.8825  6 O 2.01-2.06
V 0.8675 0.1250 0.3825  6 O 2.01-2.06
V 0.8750 0.8825 0.6325  6 O 2.01-2.06
V 0.8825 0.6325 0.8750  6 O 2.01-2.06
O 0.1146 0.8915 0.6303  1 Li 1.84, 2 V 2.01-2.02
O 0.1085 0.1303 0.3854  1 Li 1.84, 2 V 2.01-2.02
O 0.1275 0.6275 0.8725  3 Li 2.01, 3 V 2.06
O 0.1197 0.1415 0.8646  1 Li 1.84, 2 V 2.01-2.02
O 0.1303 0.3854 0.1085  1 Li 1.84, 2 V 2.01-2.02
O 0.1225 0.3775 0.6225  3 Li 2.01, 3 V 2.06
O 0.1415 0.8646 0.1197  1 Li 1.84, 2 V 2.01-2.02
O 0.1354 0.6197 0.3585  1 Li 1.84, 2 V 2.01-2.02
O 0.3646 0.3803 0.8585  1 Li 1.84, 2 V 2.01-2.02
O 0.3585 0.1354 0.6197  1 Li 1.84, 2 V 2.01-2.02
O 0.3775 0.6225 0.1225  3 Li 2.01, 3 V 2.06
O 0.3697 0.6146 0.6085  1 Li 1.84, 2 V 2.01-2.02
O 0.3803 0.8585 0.3646  1 Li 1.84, 2 V 2.01-2.02
O 0.3725 0.3725 0.3725  3 Li 2.01, 3 V 2.06
O 0.3915 0.8697 0.8854  1 Li 1.84, 2 V 2.01-2.02
O 0.3854 0.1085 0.1303  1 Li 1.84, 2 V 2.01-2.02
O 0.6146 0.6085 0.3697  1 Li 1.84, 2 V 2.01-2.02
O 0.6085 0.3697 0.6146  1 Li 1.84, 2 V 2.01-2.02
O 0.6275 0.8725 0.1275  3 Li 2.01, 3 V 2.06
O 0.6197 0.3585 0.1354  1 Li 1.84, 2 V 2.01-2.02
O 0.6303 0.1146 0.8915  1 Li 1.84, 2 V 2.01-2.02
O 0.6225 0.1225 0.3775  3 Li 2.01, 3 V 2.06
O 0.6415 0.6354 0.8803  1 Li 1.84, 2 V 2.01-2.02
O 0.6354 0.8803 0.6415  1 Li 1.84, 2 V 2.01-2.02
O 0.8646 0.1197 0.1415  1 Li 1.84, 2 V 2.01-2.02
O 0.8585 0.3646 0.3803  1 Li 1.84, 2 V 2.01-2.02
O 0.8775 0.8775 0.8775  3 Li 2.01, 3 V 2.06
O 0.8697 0.8854 0.3915  1 Li 1.84, 2 V 2.01-2.02
O 0.8803 0.6415 0.6354  1 Li 1.84, 2 V 2.01-2.02
O 0.8725 0.1275 0.6275  3 Li 2.01, 3 V 2.06
O 0.8915 0.6303 0.1146  1 Li 1.84, 2 V 2.01-2.02
O 0.8854 0.3915 0.8697  1 Li 1.84, 2 V 2.01-2.02

Output
Raw formation energy ... -39.583 eV per formula unit
Density of states at the Fermi level ... 2.12 states/eV per cell
Total magnetic moment ... 44.00 μB per cell
Space-group type ... P4_332, No. 212
Total DFT energy (no corrections) ... -688.408 eV/cell



[10]
Compound: CdPb2
Source: Alexandria via LeMat-Bulk
Functional: meta-GGA SCAN
Structure: PBEsol geometry

Cell lengths 4.3857, 8.0794, 8.0794 Å; angles 120.00, 90.00, 90.00 degrees
Closest atoms and distances in Å follow each position.
Element x y z (fractional)
Cd 0.0000 0.6667 0.3333  9 Pb 3.02-3.31
Cd 0.0000 0.3333 0.6667  9 Pb 3.02-3.31
Cd 0.5000 0.0000 0.0000  9 Pb 3.05-3.22
Pb 0.0000 0.7368 0.7368  4 Cd 3.02-3.05
Pb 0.0000 0.0000 0.2632  4 Cd 3.02-3.05
Pb 0.0000 0.2632 0.0000  4 Cd 3.02-3.05
Pb 0.5000 0.3983 0.3983  5 Cd 3.22-3.31, 6 Pb 3.51-3.58
Pb 0.5000 0.0000 0.6017  5 Cd 3.22-3.31, 6 Pb 3.51-3.58
Pb 0.5000 0.6017 0.0000  5 Cd 3.22-3.31, 6 Pb 3.51-3.58

Output
Energy relative to the lowest polymorph listed for this composition ... 8 kJ/mol of formula units
Density of states at the Fermi level ... 4.26 states/eV per cell
Energy of formation from the pure elements ... 15 kJ/mol of formula units
Total magnetic moment ... 0.00 μB per cell
Space-group type ... P-62m, No. 189
Total DFT energy (no corrections) ... -545.449 eV/cell